No. 1
Compound: BaScW2
Source: Alexandria
Functional: PBE
Structure: optimized geometry

The structure in POSCAR format:
```
BaScW2
1.0
8.387 0.000 0.000
0.000 3.203 0.000
-0.480 0.000 7.860
Ba Sc W
2 2 4
Direct
0.000 0.000 0.000
0.500 0.500 0.000
0.224 0.000 0.621
0.724 0.500 0.621
0.263 0.500 0.308
0.486 0.000 0.432
0.763 0.000 0.308
0.986 0.500 0.432
```

Calculated values
V = 26.39 Å³ per atom
energy of formation from the pure elements = 2.86 eV per formula unit
relative energy among the computed polymorphs = 0.820 eV/f.u.

***

No. 2
Compound: CaCu2
Source: Alexandria
Functional: PBE
Structure: optimized geometry

The structure in POSCAR format:
```
CaCu2
1.0
6.984 0.000 0.000
-3.492 6.049 0.000
0.000 0.000 4.596
Ca Cu
3 6
Direct
0.000 0.000 0.000
0.333 0.667 0.500
0.667 0.333 0.500
0.000 0.218 0.500
0.000 0.411 0.000
0.218 0.000 0.500
0.411 0.000 0.000
0.589 0.589 0.000
0.782 0.782 0.500
```

Calculated values
V = 21.57 Å³ per atom
energy of formation from the pure elements = 0.52 eV per formula unit

***

No. 3
Compound: Ca4DySe5
Source: Alexandria
Functional: PBE
Structure: optimized geometry

The structure in POSCAR format:
```
Ca4DySe5
1.0
-2.085 2.085 14.814
2.085 -2.085 14.814
2.085 2.085 -14.814
Ca Dy Se
4 1 5
Direct
0.099 0.099 0.000
0.300 0.300 0.000
0.700 0.700 0.000
0.901 0.901 0.000
0.500 0.500 0.000
0.000 0.000 0.000
0.200 0.200 0.000
0.402 0.402 0.000
0.598 0.598 0.000
0.800 0.800 0.000
```

Calculated values
ΔE_f (raw) = -1.964 eV per atom
V = 25.77 Å³ per atom
relative energy among the computed polymorphs = 0.000 eV/f.u.

***

No. 4
Compound: Tm8AlCu2
Source: Alexandria
Functional: PBE
Structure: optimized geometry

The structure in POSCAR format:
```
Tm8AlCu2
1.0
4.287 -6.690 0.000
4.287 6.690 0.000
-1.509 0.000 4.979
Tm Al Cu
8 1 2
Direct
0.081 0.327 0.591
0.237 0.763 0.000
0.327 0.081 0.591
0.387 0.387 0.193
0.613 0.613 0.807
0.673 0.919 0.409
0.763 0.237 0.000
0.919 0.673 0.409
0.000 0.000 0.000
0.309 0.691 0.500
0.691 0.309 0.500
```

Calculated values
V = 25.97 Å³ per atom
energy of formation from the pure elements = -0.56 eV per formula unit

***

Q: What is the V in the fourth record?
A: 25.97 Å³ per atom